# 1
Density functional theory data (PBE) for a relaxed Mn2Ag5Br12 crystal.

Summary:
- Energy relative to the elements, uncorrected: -0.398 eV per atom
- Magnetization: 7.5 μB/f.u.
- E: -120.5 eV for the cell shown
- Theoretical density: 5.07 g/cm³

Lattice parameters (Å, degrees): 15.893 7.599 9.097 90.00 106.51 90.00
Space group C2/m (No. 12)
Asymmetric unit:
1 Mn 0.000 0.246 0.000
2 Ag 0.000 0.500 0.500
3 Ag 0.196 0.000 0.827
4 Ag 0.237 0.000 0.466
5 Br 0.006 0.000 0.202
6 Br 0.010 0.500 0.200
7 Br 0.147 0.252 0.576
8 Br 0.159 0.244 0.064

# 2
Density functional theory data (PBE) for a relaxed HOsRh crystal.

Summary:
- Magnetization: 0.0 μB/f.u.
- E: -42.5 eV for the cell shown
- Theoretical density: 15.86 g/cm³

Lattice parameters (Å, degrees): 2.782 4.530 4.887 90.00 90.00 90.00
Space group Pmm2 (No. 25)
Asymmetric unit:
1 H 0.000 0.244 0.000
2 Os 0.000 0.500 0.640
3 Os 0.500 0.000 0.803
4 Rh 0.000 0.000 0.336
5 Rh 0.500 0.500 0.153

# 3
Density functional theory data (PBE) for a relaxed CeHoErHg crystal.

Summary:
- DFT formation energy: 0.018 eV per atom
- Magnetization: 0.6 μB/f.u.
- E: -61.2 eV for the cell shown
- Theoretical density: 10.63 g/cm³

Lattice parameters (Å, degrees): 7.491 7.491 7.491 90.00 90.00 90.00
Space group F-43m (No. 216)
Asymmetric unit:
1 Ce 0.000 0.000 0.000
2 Ho 0.250 0.250 0.250
3 Er 0.250 0.250 0.750
4 Hg 0.000 0.000 0.500

# 4
Density functional theory data (PBE) for a relaxed NdHoEr2Au4 crystal.

Summary:
- DFT formation energy: -0.843 eV per atom
- Magnetization: 0.0 μB/f.u.
- E: -115.0 eV for the cell shown
- Theoretical density: 12.58 g/cm³

Lattice parameters (Å, degrees): 5.0843 5.0843 25.3160 90.00 90.00 120.00
Space group R-3m (No. 166, hexagonal axes)
Asymmetric unit:
1 Nd 0.0000 0.0000 0.0000
2 Ho 0.0000 0.0000 0.5000
3 Er 0.0000 0.0000 0.2487
4 Au 0.0000 0.0000 0.1280
5 Au 0.0000 0.0000 0.3808

# 5
Density functional theory data (PBE) for a relaxed BeFe2Ir crystal.

Summary:
- DFT formation energy: -0.057 eV per atom
- Magnetization: 1.3 μB/f.u.
- E: -29.7 eV for the cell shown
- Theoretical density: 12.11 g/cm³

Lattice parameters (Å, degrees): 2.638 2.638 6.170 90.00 90.00 90.00
Space group P4/mmm (No. 123)
Asymmetric unit:
1 Be 0.000 0.000 0.000
2 Fe 0.500 0.500 0.213
3 Ir 0.000 0.000 0.500

# 6
Density functional theory data (PBE) for a relaxed Ba2SmTl2O6 crystal.

Summary:
- Energy relative to the elements, uncorrected: -1.785 eV per atom
- Magnetization: 0.0 μB/f.u.
- E: -188.1 eV for the cell shown
- Theoretical density: 6.71 g/cm³

Lattice parameters (Å, degrees): 6.5593 6.5593 18.5140 90.00 90.00 120.00
Space group R-3m (No. 166, hexagonal axes)
Asymmetric unit:
1 Ba 0.0000 0.0000 0.1988
2 Sm 0.0000 0.0000 0.0000
3 Tl 0.0000 0.0000 0.4014
4 O 0.0375 0.5188 0.7556

# 7
Density functional theory data (PBE) for a relaxed ZrTi4Os crystal.

Summary:
- DFT formation energy: -0.245 eV per atom
- Magnetization: 0.0 μB/f.u.
- E: -105.6 eV for the cell shown
- Theoretical density: 7.54 g/cm³

Lattice parameters (Å, degrees): 9.839 4.520 5.611 90.00 123.46 90.00
Space group C2/m (No. 12)
Asymmetric unit:
1 Zr 0.000 0.000 0.000
2 Ti 0.153 0.500 0.809
3 Ti 0.203 0.500 0.353
4 Os 0.000 0.000 0.500

# 8
Density functional theory data (PBE) for a relaxed CrNi8Pt2 crystal.

Summary:
- DFT formation energy: 0.102 eV per atom
- Magnetization: 1.3 μB/f.u.
- E: -133.7 eV for the cell shown
- Theoretical density: 11.25 g/cm³

Lattice parameters (Å, degrees): 12.212 4.663 4.768 90.00 97.73 90.00
Space group C2/m (No. 12)
Asymmetric unit:
1 Cr 0.000 0.000 0.000
2 Ni 0.082 0.254 0.401
3 Ni 0.087 0.500 0.904
4 Ni 0.245 0.500 0.629
5 Pt 0.193 0.000 0.852

# 9
Density functional theory data (PBE) for a relaxed NaErTlPb crystal.

Summary:
- DFT formation energy: -0.248 eV per atom
- Magnetization: 0.0 μB/f.u.
- E: -12.9 eV for the cell shown
- Theoretical density: 9.05 g/cm³

Lattice parameters (Å, degrees): 3.784 3.784 7.714 90.00 90.00 90.00
Space group P4mm (No. 99)
Asymmetric unit:
1 Na 0.000 0.000 0.000
2 Er 0.000 0.000 0.511
3 Tl 0.500 0.500 0.751
4 Pb 0.500 0.500 0.257

# 10
Density functional theory data (PBE) for a relaxed La2InNi crystal.

Summary:
- DFT formation energy: -0.315 eV per atom
- Magnetization: 0.0 μB/f.u.
- E: -39.3 eV for the cell shown
- Theoretical density: 7.23 g/cm³

Lattice parameters (Å, degrees): 12.312 3.631 5.094 90.00 114.41 90.00
Space group Cm (No. 8)
Asymmetric unit:
1 La 0.000 0.000 0.000
2 La 0.190 0.000 0.690
3 In 0.393 0.000 0.393
4 Ni 0.214 0.500 0.212

# 11
Density functional theory data (PBE) for a relaxed AlGaSi crystal.

Summary:
- Energy relative to the elements, uncorrected: 0.169 eV per atom
- Magnetization: 0.0 μB/f.u.
- E: -70.1 eV for the cell shown
- Theoretical density: 3.59 g/cm³

Lattice parameters (Å, degrees): 4.4219 4.4219 20.4459 90.00 90.00 120.00
Space group R-3m (No. 166, hexagonal axes)
Asymmetric unit:
1 Al 0.0000 0.0000 0.1227
2 Ga 0.0000 0.0000 0.3792
3 Si 0.0000 0.0000 0.2488

# 12
Density functional theory data (PBE) for a relaxed Ca5LaAg6 crystal.

Summary:
- DFT formation energy: -0.307 eV per atom
- Magnetization: 0.0 μB/f.u.
- E: -35.7 eV for the cell shown
- Theoretical density: 5.25 g/cm³

Lattice parameters (Å, degrees): 5.280 7.487 8.312 90.00 108.23 90.00
Space group P2/m (No. 10)
Asymmetric unit:
1 Ca 0.000 0.000 0.000
2 Ca 0.331 0.500 0.662
3 Ca 0.335 0.000 0.669
4 La 0.000 0.500 0.000
5 Ag 0.166 0.247 0.332
6 Ag 0.500 0.253 0.000

# 13
Density functional theory data (PBE) for a relaxed AcNpN2 crystal.

Summary:
- Energy relative to the elements, uncorrected: -0.383 eV per atom
- Magnetization: 3.6 μB/f.u.
- E: -35.2 eV for the cell shown
- Theoretical density: 13.28 g/cm³

Lattice parameters (Å, degrees): 3.130 3.130 6.280 90.00 90.00 90.00
Space group P4/mmm (No. 123)
Asymmetric unit:
1 Ac 0.000 0.000 0.000
2 Np 0.000 0.000 0.500
3 N 0.500 0.500 0.271

# 14
Density functional theory data (PBE) for a relaxed Na2LiB2Pt5 crystal.

Summary:
- DFT formation energy: -0.360 eV per atom
- Magnetization: 0.0 μB/f.u.
- E: -103.4 eV for the cell shown
- Theoretical density: 12.47 g/cm³

Lattice parameters (Å, degrees): 9.916 9.916 2.845 90.00 90.00 90.00
Space group P4/mbm (No. 127)
Asymmetric unit:
1 Na 0.178 0.322 0.000
2 Li 0.000 0.000 0.000
3 B 0.129 0.629 0.000
4 Pt 0.000 0.500 0.500
5 Pt 0.067 0.784 0.500

# 15
Density functional theory data (PBE) for a relaxed Cr2CuMo crystal.

Summary:
- DFT formation energy: 0.331 eV per atom
- Magnetization: 0.0 μB/f.u.
- E: -32.9 eV for the cell shown
- Theoretical density: 8.42 g/cm³

Lattice parameters (Å, degrees): 2.473 4.028 5.215 90.00 90.00 90.00
Space group Pmm2 (No. 25)
Asymmetric unit:
1 Cr 0.000 0.000 0.000
2 Cr 0.500 0.500 0.233
3 Cu 0.000 0.000 0.480
4 Mo 0.500 0.500 0.739

# 16
Density functional theory data (PBE) for a relaxed Ce4AsIrI2 crystal.

Summary:
- Energy relative to the elements, uncorrected: -1.013 eV per atom
- Magnetization: 4.0 μB/f.u.
- E: -48.4 eV for the cell shown
- Theoretical density: 7.48 g/cm³

Lattice parameters (Å, degrees): 7.570 4.172 7.951 90.00 107.06 90.00
Space group P2/m (No. 10)
Asymmetric unit:
1 Ce 0.216 0.000 0.192
2 Ce 0.256 0.500 0.796
3 As 0.500 0.000 0.000
4 Ir 0.000 0.500 0.000
5 I 0.000 0.000 0.500
6 I 0.500 0.500 0.500

# 17
Density functional theory data (PBE) for a relaxed ZrRe2Ge crystal.

Summary:
- DFT formation energy: 0.600 eV per atom
- Magnetization: 0.0 μB/f.u.
- E: -142.7 eV for the cell shown
- Theoretical density: 12.13 g/cm³

Lattice parameters (Å, degrees): 7.517 7.517 5.195 90.00 90.00 90.00
Space group I-42d (No. 122)
Asymmetric unit:
1 Zr 0.000 0.000 0.000
2 Re 0.190 0.250 0.625
3 Ge 0.000 0.000 0.500

# 18
Density functional theory data (PBE) for a relaxed YZn2Au crystal.

Summary:
- DFT formation energy: -0.313 eV per atom
- Magnetization: 0.2 μB/f.u.
- E: -13.5 eV for the cell shown
- Theoretical density: 8.94 g/cm³

Lattice parameters (Å, degrees): 3.406 3.406 6.669 90.00 90.00 90.00
Space group P4/mmm (No. 123)
Asymmetric unit:
1 Y 0.000 0.000 0.000
2 Zn 0.500 0.500 0.291
3 Au 0.000 0.000 0.500

# 19
Density functional theory data (PBE) for a relaxed LiHoSnHg crystal.

Summary:
- DFT formation energy: -0.514 eV per atom
- Magnetization: 0.0 μB/f.u.
- E: -51.4 eV for the cell shown
- Theoretical density: 8.75 g/cm³

Lattice parameters (Å, degrees): 7.198 7.198 7.198 90.00 90.00 90.00
Space group F-43m (No. 216)
Asymmetric unit:
1 Li 0.000 0.000 0.000
2 Ho 0.000 0.000 0.500
3 Sn 0.250 0.250 0.750
4 Hg 0.250 0.250 0.250

# 20
Density functional theory data (PBE) for a relaxed Pu2NpTe3 crystal.

Summary:
- Energy relative to the elements, uncorrected: -0.906 eV per atom
- Magnetization: 16.3 μB/f.u.
- E: -112.9 eV for the cell shown
- Theoretical density: 10.01 g/cm³

Lattice parameters (Å, degrees): 4.424 6.258 13.271 90.00 90.00 90.00
Space group Immm (No. 71)
Asymmetric unit:
1 Pu 0.000 0.000 0.167
2 Np 0.000 0.000 0.500
3 Te 0.000 0.500 0.166
4 Te 0.000 0.500 0.500

# 21
Density functional theory data (PBE) for a relaxed CeHg crystal.

Summary:
- DFT formation energy: -0.035 eV per atom
- Magnetization: 2.3 μB/f.u.
- E: -25.2 eV for the cell shown
- Theoretical density: 8.77 g/cm³

Lattice parameters (Å, degrees): 6.365 6.365 6.365 90.00 90.00 90.00
Space group Fm-3m (No. 225)
Asymmetric unit:
1 Ce 0.000 0.000 0.000
2 Hg 0.000 0.000 0.500

# 22
Density functional theory data (PBE) for a relaxed NaPPtRh crystal.

Summary:
- DFT formation energy: -0.378 eV per atom
- Magnetization: 0.0 μB/f.u.
- E: -43.3 eV for the cell shown
- Theoretical density: 7.55 g/cm³

Lattice parameters (Å, degrees): 3.814 3.814 10.640 90.00 90.00 90.00
Space group P4/nmm (No. 129, origin choice 2)
Asymmetric unit:
1 Na 0.250 0.250 0.221
2 P 0.250 0.250 0.626
3 Pt 0.250 0.750 0.000
4 Rh 0.250 0.750 0.500